Entry from Alexandria: a PBEsol-optimized structure of K2Cd (SCAN).

Calculated values
Raw total energy (eV/atom): -15.686
ΔH_f (0 K) (eV/atom): 0.005
Size of the total moment (μB/f.u.): 0.00

a b c (Å): 6.1865 6.1865 7.8041
angles (deg): 90.00 90.00 120.00
With the nearest neighbours (Å) after each atom.
Space group P6_3/mmc (No. 194)
Unique sites:
K 0.0000 0.0000 0.0000 [2 per cell]  8 K 3.90-4.07, 6 Cd 4.07
K 0.3333 0.6667 0.2500 [2 per cell]  5 Cd 3.57-3.90
Cd 0.3333 0.6667 0.7500 [2 per cell]  5 K 3.57-3.90

***

Entry from Alexandria: a PBEsol-optimized structure of KCd (SCAN).

Calculated values
Raw total energy (eV/atom): -19.441
ΔH_f (0 K) (eV/atom): -0.069
Size of the total moment (μB/f.u.): 0.00

a b c (Å): 12.8425 4.3163 5.8969
angles (deg): 90.00 117.32 90.00
With the nearest neighbours (Å) after each atom.
Space group C2/m (No. 12)
Unique sites:
K 0.1011 0.0000 0.3514 [4 per cell]  8 Cd 3.73-3.95, 4 K 3.74-4.03
Cd 0.1687 0.5000 0.9198 [4 per cell]  2 Cd 2.85

***

Entry from Alexandria: a PBEsol-optimized structure of K3Cd (SCAN).

Calculated values
Raw total energy (eV/atom): -13.828
ΔH_f (0 K) (eV/atom): 0.023
Size of the total moment (μB/f.u.): 0.00

a b c (Å): 4.4910 6.5989 13.6031
angles (deg): 90.00 90.00 90.00
With the nearest neighbours (Å) after each atom.
Space group Immm (No. 71)
Unique sites:
K 0.0000 0.0000 0.0000 [2 per cell]  4 Cd 3.99, 4 K 4.31
K 0.0000 0.5000 0.2039 [4 per cell]  2 Cd 3.57
Cd 0.0000 0.0000 0.5000 [2 per cell]  8 K 3.57-3.99

***

Entry from Alexandria: a PBEsol-optimized structure of KLaCd3 (SCAN).

Calculated values
Raw total energy (eV/atom): -28.176
ΔH_f (0 K) (eV/atom): 0.359
Size of the total moment (μB/f.u.): 1.40

a b c (Å): 6.0519 6.0519 6.0519
angles (deg): 90.00 90.00 90.00
With the nearest neighbours (Å) after each atom.
Space group Pm-3m (No. 221)
Unique sites:
K 0.0000 0.0000 0.0000 [1 per cell]  12 Cd 4.28
La 0.5000 0.5000 0.5000 [1 per cell]  6 Cd 3.03
Cd 0.0000 0.5000 0.5000 [3 per cell]  2 La 3.03

***

Entry from Alexandria: a PBEsol-optimized structure of KLaCd3 (SCAN).

Calculated values
Raw total energy (eV/atom): -28.024
ΔH_f (0 K) (eV/atom): 0.512
Size of the total moment (μB/f.u.): 0.00

a b c (Å): 5.4785 5.4785 5.4785
angles (deg): 90.00 90.00 90.00
With the nearest neighbours (Å) after each atom.
Space group Pm-3m (No. 221)
Unique sites:
K 0.0000 0.0000 0.0000 [1 per cell]  6 Cd 2.74
La 0.5000 0.5000 0.5000 [1 per cell]  12 Cd 3.87
Cd 0.0000 0.0000 0.5000 [3 per cell]  2 K 2.74

***

Entry from Alexandria: a PBEsol-optimized structure of KLaCd2 (SCAN).

Calculated values
Raw total energy (eV/atom): -28.243
ΔH_f (0 K) (eV/atom): -0.177
Size of the total moment (μB/f.u.): 0.00

a b c (Å): 3.6304 5.7081 5.7781
angles (deg): 90.00 90.00 90.00
With the nearest neighbours (Å) after each atom.
Space group Pmm2 (No. 25)
Unique sites:
K 0.0000 0.0000 0.0000 [1 per cell]  8 Cd 3.35-3.47, 2 K 3.63
La 0.0000 0.5000 0.5567 [1 per cell]  8 Cd 3.33-3.49, 2 La 3.63
Cd 0.5000 0.0000 0.4875 [1 per cell]  4 K 3.35-3.47, 4 La 3.41, 4 Cd 3.63-3.73
Cd 0.5000 0.5000 0.0731 [1 per cell]  4 La 3.33-3.49, 4 K 3.41, 4 Cd 3.63-3.73

***

Entry from Alexandria: a PBEsol-optimized structure of K2LaCd (SCAN).

Calculated values
Raw total energy (eV/atom): -22.294
ΔH_f (0 K) (eV/atom): 0.250
Size of the total moment (μB/f.u.): 0.00

a b c (Å): 4.0408 6.0244 12.8755
angles (deg): 90.00 90.00 90.00
With the nearest neighbours (Å) after each atom.
Space group Cmmm (No. 65)
Unique sites:
K 0.0000 0.0000 0.2218 [4 per cell]  2 Cd 3.50, 4 K 3.63
La 0.0000 0.5000 0.5000 [2 per cell]  6 La 3.63-4.04
Cd 0.0000 0.5000 0.0000 [2 per cell]  4 K 3.50, 4 Cd 3.63

***

Entry from Alexandria: a PBEsol-optimized structure of KLi2Cd (SCAN).

Calculated values
Raw total energy (eV/atom): -10.786
ΔH_f (0 K) (eV/atom): 0.095
Size of the total moment (μB/f.u.): 0.00

a b c (Å): 5.2977 5.2977 3.7415
angles (deg): 90.00 90.00 90.00
With the nearest neighbours (Å) after each atom.
Space group P4/mmm (No. 123)
Unique sites:
K 0.0000 0.0000 0.0000 [1 per cell]  8 Li 3.24
Li 0.0000 0.5000 0.5000 [2 per cell]  4 Cd 3.24, 4 K 3.24
Cd 0.5000 0.5000 0.0000 [1 per cell]  8 Li 3.24

***

Entry from Alexandria: a PBEsol-optimized structure of KLi3Cd (SCAN).

Calculated values
Raw total energy (eV/atom): -8.503
ΔH_f (0 K) (eV/atom): 0.680
Size of the total moment (μB/f.u.): 0.00

a b c (Å): 5.3160 5.3160 5.3160
angles (deg): 90.00 90.00 90.00
With the nearest neighbours (Å) after each atom.
Space group Pm-3m (No. 221)
Unique sites:
K 0.0000 0.0000 0.0000 [1 per cell]  6 Li 2.66
Li 0.0000 0.0000 0.5000 [3 per cell]  2 K 2.66
Cd 0.5000 0.5000 0.5000 [1 per cell]  12 Li 3.76

***

Entry from Alexandria: a PBEsol-optimized structure of KLi3Cd (SCAN).

Calculated values
Raw total energy (eV/atom): -9.175
ΔH_f (0 K) (eV/atom): 0.008
Size of the total moment (μB/f.u.): 0.00

a b c (Å): 5.3487 5.3487 5.3487
angles (deg): 90.00 90.00 90.00
With the nearest neighbours (Å) after each atom.
Space group Pm-3m (No. 221)
Unique sites:
K 0.0000 0.0000 0.0000 [1 per cell]  12 Li 3.78
Li 0.0000 0.5000 0.5000 [3 per cell]  2 Cd 2.67
Cd 0.5000 0.5000 0.5000 [1 per cell]  6 Li 2.67

***

Entry from Alexandria: a PBEsol-optimized structure of KLi2Cd (SCAN).

Calculated values
Raw total energy (eV/atom): -10.914
ΔH_f (0 K) (eV/atom): -0.033
Size of the total moment (μB/f.u.): 0.00

a b c (Å): 3.6042 3.7700 8.2746
angles (deg): 90.00 90.00 90.00
With the nearest neighbours (Å) after each atom.
Space group Pmm2 (No. 25)
Unique sites:
K 0.0000 0.0000 0.0000 [1 per cell]  4 K 3.60-3.77, 4 Cd 3.65, 5 Li 3.70-3.93
Li 0.0000 0.0000 0.5529 [1 per cell]  4 Cd 2.85, 4 Li 3.08
Li 0.5000 0.5000 0.3546 [1 per cell]  1 Cd 2.79, 4 Li 3.08
Cd 0.5000 0.5000 0.6920 [1 per cell]  5 Li 2.79-2.85

***

Entry from Alexandria: a PBEsol-optimized structure of KMg2Cd (SCAN).

Calculated values
Raw total energy (eV/atom): -12.088
ΔH_f (0 K) (eV/atom): 0.085
Size of the total moment (μB/f.u.): 0.00

a b c (Å): 10.0831 3.2726 7.2977
angles (deg): 90.00 96.44 90.00
With the nearest neighbours (Å) after each atom.
Space group Cm (No. 8)
Unique sites:
K 0.0000 0.0000 0.0000 [2 per cell]  2 K 3.27, 3 Cd 3.56-3.66, 1 Mg 3.58
Mg 0.2318 0.0000 0.6631 [2 per cell]  2 Cd 3.04, 5 Mg 3.09-3.27
Mg 0.4926 0.0000 0.4766 [2 per cell]  3 Cd 3.02, 5 Mg 3.09-3.27
Cd 0.2563 0.5000 0.3170 [2 per cell]  5 Mg 3.02-3.04, 2 Cd 3.27

***

Entry from Alexandria: a PBEsol-optimized structure of K2MgCd (SCAN).

Calculated values
Raw total energy (eV/atom): -12.997
ΔH_f (0 K) (eV/atom): 0.015
Size of the total moment (μB/f.u.): 0.01

a b c (Å): 3.9515 3.9515 10.2308
angles (deg): 90.00 90.00 90.00
With the nearest neighbours (Å) after each atom.
Space group P4mm (No. 99)
Unique sites:
K 0.0000 0.0000 0.0000 [1 per cell]  1 Mg 3.55, 4 Cd 3.76, 4 K 3.95
K 0.5000 0.5000 0.3888 [1 per cell]  1 Cd 3.74, 4 Mg 3.89, 4 K 3.95
Mg 0.0000 0.0000 0.6527 [1 per cell]  4 Cd 2.98
Cd 0.5000 0.5000 0.7546 [1 per cell]  4 Mg 2.98

***

| no. | volume (Å³ per cell) |
| --- | --- |
| 1 | 258.7 |
| 2 | 290.4 |
| 3 | 403.1 |
| 4 | 221.7 |
| 5 | 164.4 |
| 6 | 119.7 |
| 7 | 313.4 |
| 8 | 105.0 |
| 9 | 150.2 |
| 10 | 153.0 |
| 11 | 112.4 |
| 12 | 239.3 |
| 13 | 159.7 |